Record 1
Ta2MnAu after structural relaxation. Source: the Alexandria database, functional GGA-PBE.

Computed properties:
Crystal system: monoclinic
Total magnetic moment (μB per cell): 2.1
Distance to the lowest polymorph of the same formula (meV per atom): 134
E_form (eV per formula unit): 0.326
Space-group type: C2/m

Unit cell a=4.999 b=4.999 c=2.858 alpha=90.27 beta=90.27 gamma=111.63
Sites, in units of the cell vectors:
Ta 0.000 0.500 0.000
Ta 0.500 0.000 0.000
Mn 0.000 0.000 0.500
Au 0.500 0.500 0.500

=====

Record 2
TaMnAu after structural relaxation. Source: the Alexandria database, functional GGA-PBE.

Computed properties:
Crystal system: tetragonal
Total magnetic moment (μB per cell): 3.2
Distance to the lowest polymorph of the same formula (meV per atom): 21
E_form (eV per formula unit): 0.130
Space-group type: I4mm

Unit cell a=6.436 b=6.436 c=6.436 alpha=154.44 beta=154.44 gamma=36.46
Sites, in units of the cell vectors:
Ta 0.000 0.000 0.000
Mn 0.658 0.658 0.000
Au 0.323 0.323 0.000

=====

Record 3
Ta2MnAu after structural relaxation. Source: the Alexandria database, functional GGA-PBE.

Computed properties:
Crystal system: trigonal
Total magnetic moment (μB per cell): 3.1
Distance to the lowest polymorph of the same formula (meV per atom): 267
E_form (eV per formula unit): 0.858
Space-group type: R-3m

Unit cell a=9.520 b=9.520 c=9.520 alpha=17.56 beta=17.56 gamma=17.56
Sites, in units of the cell vectors:
Ta 0.247 0.247 0.247
Ta 0.753 0.753 0.753
Mn 0.500 0.500 0.500
Au 0.000 0.000 0.000

=====

Record 4
TaMnAu after structural relaxation. Source: the Alexandria database, functional GGA-PBE.

Computed properties:
Crystal system: tetragonal
Total magnetic moment (μB per cell): 2.1
Distance to the lowest polymorph of the same formula (meV per atom): 0
E_form (eV per formula unit): 0.066
Space-group type: I4mm

Unit cell a=5.002 b=5.002 c=5.002 alpha=141.26 beta=141.26 gamma=55.94
Sites, in units of the cell vectors:
Ta 0.000 0.000 0.000
Mn 0.645 0.645 0.000
Au 0.318 0.318 0.000

=====

Record 5
TaMnAu after structural relaxation. Source: the Alexandria database, functional GGA-PBE.

Computed properties:
Crystal system: cubic
Total magnetic moment (μB per cell): 1.8
Distance to the lowest polymorph of the same formula (meV per atom): 726
E_form (eV per formula unit): 2.244
Space-group type: F-43m

Unit cell a=4.346 b=4.346 c=4.346 alpha=60.00 beta=60.00 gamma=60.00
Sites, in units of the cell vectors:
Ta 0.000 0.000 0.000
Mn 0.750 0.750 0.750
Au 0.250 0.250 0.250

=====

Record 6
Ta3MnAu after structural relaxation. Source: the Alexandria database, functional GGA-PBE.

Computed properties:
Crystal system: cubic
Total magnetic moment (μB per cell): 2.9
Distance to the lowest polymorph of the same formula (meV per atom): 1165
E_form (eV per formula unit): 9.419
Space-group type: Pm-3m

Unit cell a=4.942 b=4.942 c=4.942 alpha=90.00 beta=90.00 gamma=90.00
Sites, in units of the cell vectors:
Ta 0.000 0.000 0.500
Ta 0.000 0.500 0.000
Ta 0.500 0.000 0.000
Mn 0.500 0.500 0.500
Au 0.000 0.000 0.000

=====

Q: E_form of number 5 (TaMnAu)?
A: 2.244 eV per formula unit